(1)
Material: AcCeI2
Method: DFT, GGA-PBE
State: relaxed

a = 4.0189 Å, b = 4.0189 Å, c = 34.4099 Å
α = 90.00°, β = 90.00°, γ = 120.00°
Space group R-3m (No. 166, hexagonal axes)
One atom of each set of equivalent atoms:
Ac (0.0000, 0.0000, 0.0000) (multiplicity 3)
Ce (0.0000, 0.0000, 0.5000) (multiplicity 3)
I (0.0000, 0.0000, 0.4064) (multiplicity 6)

Calculated values
Its volume is 481.32 Å³ per cell. The calculation puts the total DFT energy (no corrections) at -3.983 eV/atom. Its total magnetization is 1.781 μB/f.u. The density of states at the Fermi level is 2.240 states/eV/atom.


(2)
Material: LiMn2Br
Method: DFT, GGA-PBE
State: relaxed

a = 3.310 Å, b = 5.389 Å, c = 8.822 Å
α = 90.00°, β = 90.00°, γ = 90.00°
Space group Cmmm (No. 65)
One atom of each set of equivalent atoms:
Li (0.000, 0.000, 0.000) (multiplicity 2)
Mn (0.000, 0.500, 0.256) (multiplicity 4)
Br (0.000, 0.000, 0.500) (multiplicity 2)

Calculated values
Its volume is 157.36 Å³ per cell. The calculation puts the total DFT energy (no corrections) at -5.017 eV/atom. Its total magnetization is 8.411 μB/f.u. The density of states at the Fermi level is 0.908 states/eV/atom.


(3)
Material: HfCd2W
Method: DFT, GGA-PBE
State: relaxed

a = 3.994 Å, b = 3.994 Å, c = 21.337 Å
α = 90.00°, β = 90.00°, γ = 90.00°
Space group I-42d (No. 122)
One atom of each set of equivalent atoms:
Hf (0.000, 0.000, 0.000) (multiplicity 4)
Cd (0.240, 0.250, 0.625) (multiplicity 8)
W (0.000, 0.000, 0.500) (multiplicity 4)

Calculated values
Its volume is 340.31 Å³ per cell. The calculation puts the total DFT energy (no corrections) at -5.438 eV/atom. Its total magnetization is 0.000 μB/f.u. The density of states at the Fermi level is 0.922 states/eV/atom. For the formation enthalpy at 0 K, the calculation gives 0.75 eV per atom.